(1)
Y2ZrAs | PBE | optimized geometry

Unit cell a=8.5665 b=8.5665 c=6.7110 alpha=50.34 beta=50.34 gamma=90.00
Element x y z (fractional)
Zr 0.0000 0.0000 0.0000
Zr 0.7500 0.2500 0.5000
As 0.2500 0.7500 0.5000
As 0.5000 0.5000 0.0000
Y 0.3750 0.4313 0.7500
Y 0.1813 0.6250 0.2500
Y 0.8750 0.8187 0.7500
Y 0.5687 0.1250 0.2500

Calculated values
Energy: -6.718 eV per atom
Space group: I-42d, No. 122
Energy relative to the elements: -0.186 eV per atom

(2)
Y2ZrAs | PBE | optimized geometry

Unit cell a=5.8091 b=5.8091 c=5.8091 alpha=135.34 beta=135.34 gamma=65.00
Element x y z (fractional)
As 0.7500 0.2500 0.5000
Y 0.0000 0.0000 0.0000
Y 0.5000 0.5000 0.0000
Zr 0.2500 0.7500 0.5000

Calculated values
Energy: -6.813 eV per atom
Space group: I4/mmm, No. 139
Energy relative to the elements: -0.282 eV per atom